Entry from the Alexandria database: a relaxed Sm2InAu9 crystal (PBE-GGA).

Cell lengths 5.7197, 5.7197, 27.3422 Å; angles 90.00, 90.00, 120.00 degrees
Closest atoms and distances in Å follow each position.
Space group R-3m (No. 166, hexagonal axes)
Unique sites:
1 Sm 0.0000 0.0000 0.1368 (multiplicity 6)  12 Au 3.18-3.43
2 In 0.0000 0.0000 0.0000 (multiplicity 3)  6 Au 3.30
3 Au 0.0000 0.0000 0.3337 (multiplicity 6)  6 Au 2.86-2.88
4 Au 0.0000 0.0000 0.5000 (multiplicity 3)  6 Au 2.78
5 Au 0.0069 0.5035 0.9140 (multiplicity 18)  7 Au 2.78-2.92

Summary:
uncorrected energy	-3.81	eV/atom
formation energy from the elements	-334	meV per atom

---

Entry from the Alexandria database: a relaxed SrZrPRu2 crystal (PBE-GGA).

Cell lengths 4.7129, 4.7129, 5.4525 Å; angles 90.00, 90.00, 90.00 degrees
Closest atoms and distances in Å follow each position.
Space group P4/mmm (No. 123)
Unique sites:
1 Sr 0.0000 0.0000 0.0000 (multiplicity 1)  4 Ru 2.36
2 Zr 0.0000 0.0000 0.5000 (multiplicity 1)  2 Sr 2.73
3 P 0.5000 0.5000 0.5000 (multiplicity 1)  4 Zr 3.33, 8 Ru 3.60
4 Ru 0.0000 0.5000 0.0000 (multiplicity 2)  2 Sr 2.36

Summary:
uncorrected energy	-4.48	eV/atom
formation energy from the elements	2359	meV per atom

---

Entry from the Alexandria database: a relaxed BaLiTe3 crystal (PBE-GGA).

Cell lengths 5.3673, 5.3673, 5.3673 Å; angles 90.00, 90.00, 90.00 degrees
Closest atoms and distances in Å follow each position.
Space group Pm-3m (No. 221)
Unique sites:
1 Ba 0.0000 0.0000 0.0000 (multiplicity 1)  12 Te 3.80
2 Li 0.5000 0.5000 0.5000 (multiplicity 1)  6 Te 2.68
3 Te 0.0000 0.5000 0.5000 (multiplicity 3)  2 Li 2.68

Summary:
uncorrected energy	-3.38	eV/atom
energy relative to the elements, uncorrected	-724	meV/atom

---

Entry from the Alexandria database: a relaxed TaCoAs2Se crystal (PBE-GGA).

Cell lengths 4.4531, 4.4531, 4.7095 Å; angles 90.00, 90.00, 90.00 degrees
Closest atoms and distances in Å follow each position.
Space group P4/mmm (No. 123)
Unique sites:
1 Ta 0.0000 0.0000 0.0000 (multiplicity 1)  4 Se 3.15, 8 As 3.24
2 Co 0.5000 0.5000 0.5000 (multiplicity 1)  4 As 2.23, 2 Se 2.35
3 As 0.0000 0.5000 0.5000 (multiplicity 2)  2 Co 2.23
4 Se 0.5000 0.5000 0.0000 (multiplicity 1)  2 Co 2.35

Summary:
uncorrected energy	-5.65	eV/atom
energy relative to the elements, uncorrected	700	meV/atom

---

Entry from the Alexandria database: a relaxed MnZnRh3 crystal (PBE-GGA).

Cell lengths 4.4611, 4.4611, 4.4611 Å; angles 90.00, 90.00, 90.00 degrees
Closest atoms and distances in Å follow each position.
Space group Pm-3m (No. 221)
Unique sites:
1 Mn 0.0000 0.0000 0.0000 (multiplicity 1)  12 Rh 3.15
2 Zn 0.5000 0.5000 0.5000 (multiplicity 1)  6 Rh 2.23
3 Rh 0.0000 0.5000 0.5000 (multiplicity 3)  2 Zn 2.23

Summary:
uncorrected energy	-5.04	eV/atom
formation energy from the elements	1462	meV per atom

---

Entry from the Alexandria database: a relaxed TlInHg2Cl8 crystal (PBE-GGA).

Cell lengths 6.6950, 6.8732, 8.8739 Å; angles 71.61, 83.11, 88.01 degrees
Closest atoms and distances in Å follow each position.
Space group P-1 (No. 2)
Unique sites:
1 Tl 0.0000 0.0000 0.0000 (multiplicity 1)  6 Cl 3.16-3.33
2 In 0.0000 0.0000 0.5000 (multiplicity 1)  4 Cl 2.45-2.55
3 Hg 0.4872 0.4487 0.2444 (multiplicity 2)  2 Cl 2.37
4 Cl 0.1193 0.7402 0.7482 (multiplicity 2)  1 In 2.55
5 Cl 0.1830 0.8195 0.3281 (multiplicity 2)  1 In 2.45
6 Cl 0.3325 0.2307 0.4918 (multiplicity 2)  1 Hg 2.37
7 Cl 0.4138 0.2656 0.9820 (multiplicity 2)  1 Hg 2.37

Summary:
uncorrected energy	-2.52	eV/atom
energy relative to the elements, uncorrected	-809	meV/atom

---

Entry from the Alexandria database: a relaxed Ho3TePd12 crystal (PBE-GGA).

Cell lengths 4.1035, 4.1035, 16.4425 Å; angles 90.00, 90.00, 90.00 degrees
Closest atoms and distances in Å follow each position.
Space group P4/mmm (No. 123)
Unique sites:
1 Ho 0.0000 0.0000 0.0000 (multiplicity 1)  12 Pd 2.90-2.91
2 Ho 0.0000 0.0000 0.2481 (multiplicity 2)  12 Pd 2.87-2.96
3 Te 0.0000 0.0000 0.5000 (multiplicity 1)  12 Pd 2.87-2.90
4 Pd 0.0000 0.5000 0.1257 (multiplicity 4)  4 Ho 2.87-2.91, 8 Pd 2.90-2.94
5 Pd 0.0000 0.5000 0.3780 (multiplicity 4)  2 Te 2.87, 8 Pd 2.87-2.90, 2 Ho 2.96
6 Pd 0.5000 0.5000 0.0000 (multiplicity 1)  4 Ho 2.90, 8 Pd 2.91
7 Pd 0.5000 0.5000 0.2538 (multiplicity 2)  8 Pd 2.89-2.94, 4 Ho 2.90
8 Pd 0.5000 0.5000 0.5000 (multiplicity 1)  8 Pd 2.87, 4 Te 2.90

Summary:
uncorrected energy	-5.67	eV/atom
energy relative to the elements, uncorrected	-716	meV/atom

---

Entry from the Alexandria database: a relaxed KPdBr crystal (PBE-GGA).

Cell lengths 6.8948, 6.8948, 6.8948 Å; angles 90.00, 90.00, 90.00 degrees
Closest atoms and distances in Å follow each position.
Space group F-43m (No. 216)
Unique sites:
1 K 0.0000 0.0000 0.0000 (multiplicity 4)  4 Pd 2.99
2 Pd 0.2500 0.2500 0.7500 (multiplicity 4)  4 K 2.99, 4 Br 2.99
3 Br 0.0000 0.0000 0.5000 (multiplicity 4)  4 Pd 2.99

Summary:
uncorrected energy	-3.02	eV/atom
energy relative to the elements, uncorrected	-363	meV/atom